No. 1
{"formula": "PaTc2P2", "functional": "PBE-GGA", "state": "optimized geometry", "magmom_total_mub_per_fu": 0.00, "vol_a3_per_cell": 163, "formation_enthalpy_0k_ev_per_atom": -0.845, "space_group": "P2_1/m (11)", "cell": [[4.2619, 0.0000, 0.0000], [0.0000, 4.2133, 0.0000], [-0.4327, 0.0000, 9.0899]], "species": ["Pa", "Pa", "Tc", "Tc", "Tc", "Tc", "P", "P", "P", "P"], "frac_coords": [[0.2365, 0.2500, 0.2625], [0.7635, 0.7500, 0.7375], [0.2474, 0.7500, 0.4992], [0.3364, 0.2500, 0.9035], [0.6636, 0.7500, 0.0965], [0.7526, 0.2500, 0.5008], [0.1680, 0.7500, 0.9885], [0.2648, 0.2500, 0.6383], [0.7352, 0.7500, 0.3617], [0.8320, 0.2500, 0.0115]]}


No. 2
{"formula": "PaTc5P6", "functional": "PBE-GGA", "state": "optimized geometry", "magmom_total_mub_per_fu": 0.00, "vol_a3_per_cell": 180, "formation_enthalpy_0k_ev_per_atom": -0.439, "space_group": "C2/m (12)", "cell": [[2.6807, -5.5318, 0.0000], [2.6807, 5.5318, 0.0000], [-2.5674, 0.0000, 6.0544]], "species": ["Pa", "Tc", "Tc", "Tc", "Tc", "Tc", "P", "P", "P", "P", "P", "P"], "frac_coords": [[0.0000, 0.0000, 0.0000], [0.1244, 0.8756, 0.5000], [0.3102, 0.6898, 0.0000], [0.5000, 0.5000, 0.5000], [0.6898, 0.3102, 0.0000], [0.8756, 0.1244, 0.5000], [0.0822, 0.4648, 0.3006], [0.3390, 0.3390, 0.7850], [0.4648, 0.0822, 0.3006], [0.5352, 0.9178, 0.6994], [0.6610, 0.6610, 0.2150], [0.9178, 0.5352, 0.6994]]}


No. 3
{"formula": "PaTc3P", "functional": "PBE-GGA", "state": "optimized geometry", "magmom_total_mub_per_fu": 0.00, "vol_a3_per_cell": 88, "formation_enthalpy_0k_ev_per_atom": -0.220, "space_group": "Pm-3m (221)", "cell": [[4.4416, 0.0000, 0.0000], [0.0000, 4.4416, 0.0000], [0.0000, 0.0000, 4.4416]], "species": ["Pa", "Tc", "Tc", "Tc", "P"], "frac_coords": [[0.0000, 0.0000, 0.0000], [0.0000, 0.5000, 0.5000], [0.5000, 0.0000, 0.5000], [0.5000, 0.5000, 0.0000], [0.5000, 0.5000, 0.5000]]}


No. 4
{"formula": "PaTc2P2", "functional": "PBE-GGA", "state": "optimized geometry", "magmom_total_mub_per_fu": 0.00, "vol_a3_per_cell": 82, "formation_enthalpy_0k_ev_per_atom": -0.848, "space_group": "I4/mmm (139)", "cell": [[-2.0838, 2.0838, 4.6981], [2.0838, -2.0838, 4.6981], [2.0838, 2.0838, -4.6981]], "species": ["Pa", "Tc", "Tc", "P", "P"], "frac_coords": [[0.0000, 0.0000, 0.0000], [0.2500, 0.7500, 0.5000], [0.7500, 0.2500, 0.5000], [0.3716, 0.3716, 0.0000], [0.6284, 0.6284, 0.0000]]}


No. 5
{"formula": "PaTc6P4", "functional": "PBE-GGA", "state": "optimized geometry", "magmom_total_mub_per_fu": 0.00, "vol_a3_per_cell": 178, "formation_enthalpy_0k_ev_per_atom": -0.318, "space_group": "I-42m (121)", "cell": [[-2.8823, 2.8823, 5.3496], [2.8823, -2.8823, 5.3496], [2.8823, 2.8823, -5.3496]], "species": ["Pa", "Tc", "Tc", "Tc", "Tc", "Tc", "Tc", "P", "P", "P", "P"], "frac_coords": [[0.0000, 0.0000, 0.0000], [0.0000, 0.5000, 0.5000], [0.1265, 0.1265, 0.6409], [0.4856, 0.4856, 0.3591], [0.5000, 0.0000, 0.5000], [0.5144, 0.8735, 0.0000], [0.8735, 0.5144, 0.0000], [0.1863, 0.5841, 0.0000], [0.4159, 0.4159, 0.6022], [0.5841, 0.1863, 0.0000], [0.8137, 0.8137, 0.3978]]}


No. 6
{"formula": "PaTc3P", "functional": "PBE-GGA", "state": "optimized geometry", "magmom_total_mub_per_fu": 0.00, "vol_a3_per_cell": 327, "formation_enthalpy_0k_ev_per_atom": -0.371, "space_group": "Pnma (62)", "cell": [[8.6825, 0.0000, 0.0000], [0.0000, 3.8287, 0.0000], [0.0000, 0.0000, 9.8436]], "species": ["Pa", "Pa", "Pa", "Pa", "Tc", "Tc", "Tc", "Tc", "Tc", "Tc", "Tc", "Tc", "Tc", "Tc", "Tc", "Tc", "P", "P", "P", "P"], "frac_coords": [[0.1684, 0.2500, 0.0087], [0.3316, 0.7500, 0.5087], [0.6684, 0.2500, 0.4913], [0.8316, 0.7500, 0.9913], [0.0568, 0.2500, 0.4051], [0.1128, 0.7500, 0.2078], [0.1633, 0.7500, 0.8011], [0.3367, 0.2500, 0.3011], [0.3872, 0.2500, 0.7078], [0.4432, 0.7500, 0.9051], [0.5568, 0.2500, 0.0949], [0.6128, 0.7500, 0.2922], [0.6633, 0.7500, 0.6989], [0.8367, 0.2500, 0.1989], [0.8872, 0.2500, 0.7922], [0.9432, 0.7500, 0.5949], [0.1113, 0.2500, 0.6453], [0.3887, 0.7500, 0.1453], [0.6113, 0.2500, 0.8547], [0.8887, 0.7500, 0.3547]]}


No. 7
{"formula": "PaTcP3", "functional": "PBE-GGA", "state": "optimized geometry", "magmom_total_mub_per_fu": 0.00, "vol_a3_per_cell": 353, "formation_enthalpy_0k_ev_per_atom": -0.688, "space_group": "P2_1/c (14)", "cell": [[6.0080, 0.0000, 0.0000], [0.0000, 5.6506, 0.0000], [-1.7140, 0.0000, 10.3864]], "species": ["Pa", "Pa", "Pa", "Pa", "Tc", "Tc", "Tc", "Tc", "P", "P", "P", "P", "P", "P", "P", "P", "P", "P", "P", "P"], "frac_coords": [[0.1403, 0.2242, 0.1512], [0.1403, 0.2758, 0.6512], [0.8597, 0.7242, 0.3488], [0.8597, 0.7758, 0.8488], [0.4253, 0.7502, 0.0246], [0.4253, 0.7498, 0.5246], [0.5747, 0.2502, 0.4754], [0.5747, 0.2498, 0.9754], [0.0893, 0.7153, 0.1220], [0.0893, 0.7847, 0.6220], [0.2347, 0.0746, 0.9026], [0.2347, 0.4254, 0.4026], [0.4233, 0.5633, 0.8280], [0.4233, 0.9367, 0.3280], [0.5767, 0.0633, 0.6720], [0.5767, 0.4367, 0.1720], [0.7653, 0.5746, 0.5974], [0.7653, 0.9254, 0.0974], [0.9107, 0.2153, 0.3780], [0.9107, 0.2847, 0.8780]]}


No. 8
{"formula": "Pa2Tc5P3", "functional": "PBE-GGA", "state": "optimized geometry", "magmom_total_mub_per_fu": 0.00, "vol_a3_per_cell": 321, "formation_enthalpy_0k_ev_per_atom": -0.602, "space_group": "Cmc2_1 (36)", "cell": [[2.0597, -12.0711, 0.0000], [2.0597, 12.0711, 0.0000], [0.0000, 0.0000, 6.4622]], "species": ["Pa", "Pa", "Pa", "Pa", "Tc", "Tc", "Tc", "Tc", "Tc", "Tc", "Tc", "Tc", "Tc", "Tc", "P", "P", "P", "P", "P", "P"], "frac_coords": [[0.0163, 0.9837, 0.5000], [0.3245, 0.6755, 0.4896], [0.6755, 0.3245, 0.9896], [0.9837, 0.0163, 0.0000], [0.0999, 0.9001, 0.1514], [0.2065, 0.7935, 0.6793], [0.2077, 0.7923, 0.2699], [0.3710, 0.6290, 0.9733], [0.4417, 0.5583, 0.3403], [0.5583, 0.4417, 0.8403], [0.6290, 0.3710, 0.4733], [0.7923, 0.2077, 0.7699], [0.7935, 0.2065, 0.1793], [0.9001, 0.0999, 0.6514], [0.1102, 0.8898, 0.7587], [0.2722, 0.7278, 0.9742], [0.4495, 0.5505, 0.7182], [0.5505, 0.4495, 0.2182], [0.7278, 0.2722, 0.4742], [0.8898, 0.1102, 0.2587]]}


No. 9
{"formula": "PaVTcP2", "functional": "PBE-GGA", "state": "optimized geometry", "magmom_total_mub_per_fu": 2.48, "vol_a3_per_cell": 81, "formation_enthalpy_0k_ev_per_atom": -0.797, "space_group": "I-4m2 (119)", "cell": [[-2.0336, 2.0336, 4.8824], [2.0336, -2.0336, 4.8824], [2.0336, 2.0336, -4.8824]], "species": ["Pa", "V", "Tc", "P", "P"], "frac_coords": [[0.0000, 0.0000, 0.0000], [0.7500, 0.2500, 0.5000], [0.2500, 0.7500, 0.5000], [0.3783, 0.3783, 0.0000], [0.6217, 0.6217, 0.0000]]}


No. 10
{"formula": "Pa3Te2P", "functional": "PBE-GGA", "state": "optimized geometry", "total_energy_ev_per_atom": -7.413, "magmom_total_mub_per_fu": 3.40, "vol_a3_per_cell": 329, "space_group": "Cmcm (63)", "cell": [[6.5593, -3.7415, 0.0000], [6.5593, 3.7415, 0.0000], [0.0000, 0.0000, 6.7120]], "species": ["Pa", "Pa", "Pa", "Pa", "Pa", "Pa", "Te", "Te", "Te", "Te", "P", "P"], "frac_coords": [[0.0000, 0.0000, 0.0000], [0.0000, 0.0000, 0.5000], [0.3711, 0.3711, 0.0000], [0.3711, 0.3711, 0.5000], [0.6289, 0.6289, 0.0000], [0.6289, 0.6289, 0.5000], [0.0293, 0.3361, 0.2500], [0.3361, 0.0293, 0.7500], [0.6639, 0.9707, 0.2500], [0.9707, 0.6639, 0.7500], [0.2980, 0.7020, 0.2500], [0.7020, 0.2980, 0.7500]]}